# 1
The following is a PBE-GGA calculation of an optimized crystal structure of CePmYMg, from Alexandria via LeMat-Bulk.

CIF file:
```
data_CePmYMg
_cell_length_a 7.866
_cell_length_b 7.866
_cell_length_c 7.866
_cell_angle_alpha 90.00
_cell_angle_beta 90.00
_cell_angle_gamma 90.00
_symmetry_space_group_name_H-M 'F -4 3 m'
_symmetry_Int_Tables_number 216
_symmetry_space_group_name_Hall 'F -4 2 3'
loop_
_atom_site_label
_atom_site_type_symbol
_atom_site_fract_x
_atom_site_fract_y
_atom_site_fract_z
_atom_site_occupancy
Ce1 Ce 0.000 0.000 0.000 1
Pm1 Pm 0.250 0.250 0.250 1
Y1 Y 0.000 0.000 0.500 1
Mg1 Mg 0.250 0.250 0.750 1
```



# 2
The following is a PBE-GGA calculation of an optimized crystal structure of CePmMgZn, from Alexandria via LeMat-Bulk.

CIF file:
```
data_CePmMgZn
_cell_length_a 7.483
_cell_length_b 7.483
_cell_length_c 7.483
_cell_angle_alpha 90.00
_cell_angle_beta 90.00
_cell_angle_gamma 90.00
_symmetry_space_group_name_H-M 'F -4 3 m'
_symmetry_Int_Tables_number 216
_symmetry_space_group_name_Hall 'F -4 2 3'
loop_
_atom_site_label
_atom_site_type_symbol
_atom_site_fract_x
_atom_site_fract_y
_atom_site_fract_z
_atom_site_occupancy
Ce1 Ce 0.000 0.000 0.000 1
Pm1 Pm 0.000 0.000 0.500 1
Mg1 Mg 0.250 0.250 0.750 1
Zn1 Zn 0.250 0.250 0.250 1
```



# 3
The following is a PBE-GGA calculation of an optimized crystal structure of Ce2PrMg, from Alexandria via LeMat-Bulk.

Results
* excess energy over the best structure of this formula in the dataset: 0.106 eV/atom

CIF file:
```
data_Ce2PrMg
_cell_length_a 7.886
_cell_length_b 7.886
_cell_length_c 7.886
_cell_angle_alpha 90.00
_cell_angle_beta 90.00
_cell_angle_gamma 90.00
_symmetry_space_group_name_H-M 'F m -3 m'
_symmetry_Int_Tables_number 225
_symmetry_space_group_name_Hall '-F 4 2 3'
loop_
_atom_site_label
_atom_site_type_symbol
_atom_site_fract_x
_atom_site_fract_y
_atom_site_fract_z
_atom_site_occupancy
Ce1 Ce 0.250 0.250 0.250 1
Pr1 Pr 0.000 0.000 0.000 1
Mg1 Mg 0.000 0.000 0.500 1
```



# 4
The following is a PBE-GGA calculation of an optimized crystal structure of CePr3Mg4, from Alexandria via LeMat-Bulk.

CIF file:
```
data_CePr3Mg4
_cell_length_a 3.885
_cell_length_b 5.515
_cell_length_c 11.033
_cell_angle_alpha 90.00
_cell_angle_beta 90.00
_cell_angle_gamma 90.00
_symmetry_space_group_name_H-M 'P m m m'
_symmetry_Int_Tables_number 47
_symmetry_space_group_name_Hall '-P 2 2'
loop_
_atom_site_label
_atom_site_type_symbol
_atom_site_fract_x
_atom_site_fract_y
_atom_site_fract_z
_atom_site_occupancy
Ce1 Ce 0.000 0.000 0.000 1
Pr1 Pr 0.000 0.000 0.500 1
Pr2 Pr 0.000 0.500 0.247 1
Mg1 Mg 0.500 0.000 0.249 1
Mg2 Mg 0.500 0.500 0.000 1
Mg3 Mg 0.500 0.500 0.500 1
```



# 5
The following is a PBE-GGA calculation of an optimized crystal structure of Ce2PrMg, from Alexandria via LeMat-Bulk.

Results
* excess energy over the best structure of this formula in the dataset: 0.009 eV/atom

CIF file:
```
data_Ce2PrMg
_cell_length_a 3.372
_cell_length_b 3.372
_cell_length_c 10.405
_cell_angle_alpha 90.00
_cell_angle_beta 90.00
_cell_angle_gamma 90.00
_symmetry_space_group_name_H-M 'P 4/m m m'
_symmetry_Int_Tables_number 123
_symmetry_space_group_name_Hall '-P 4 2'
loop_
_atom_site_label
_atom_site_type_symbol
_atom_site_fract_x
_atom_site_fract_y
_atom_site_fract_z
_atom_site_occupancy
Ce1 Ce 0.000 0.000 0.237 1
Pr1 Pr 0.500 0.500 0.500 1
Mg1 Mg 0.500 0.500 0.000 1
```



# 6
The following is a PBE-GGA calculation of an optimized crystal structure of Ce2PrMg, from Alexandria via LeMat-Bulk.

Results
* excess energy over the best structure of this formula in the dataset: 0.000 eV/atom

CIF file:
```
data_Ce2PrMg
_cell_length_a 4.801
_cell_length_b 4.801
_cell_length_c 5.125
_cell_angle_alpha 90.00
_cell_angle_beta 90.00
_cell_angle_gamma 90.00
_symmetry_space_group_name_H-M 'P 4/m m m'
_symmetry_Int_Tables_number 123
_symmetry_space_group_name_Hall '-P 4 2'
loop_
_atom_site_label
_atom_site_type_symbol
_atom_site_fract_x
_atom_site_fract_y
_atom_site_fract_z
_atom_site_occupancy
Ce1 Ce 0.000 0.500 0.000 1
Pr1 Pr 0.000 0.000 0.500 1
Mg1 Mg 0.500 0.500 0.500 1
```



# 7
The following is a PBE-GGA calculation of an optimized crystal structure of Ce2PrMg, from Alexandria via LeMat-Bulk.

Results
* excess energy over the best structure of this formula in the dataset: 0.191 eV/atom

CIF file:
```
data_Ce2PrMg
_cell_length_a 3.3174
_cell_length_b 3.3174
_cell_length_c 38.0828
_cell_angle_alpha 90.00
_cell_angle_beta 90.00
_cell_angle_gamma 120.00
_symmetry_space_group_name_H-M 'R -3 m'
_symmetry_Int_Tables_number 166
_symmetry_space_group_name_Hall '-R 3 2"'
loop_
_atom_site_label
_atom_site_type_symbol
_atom_site_fract_x
_atom_site_fract_y
_atom_site_fract_z
_atom_site_occupancy
Ce1 Ce 0.0000 0.0000 0.0868 1
Pr1 Pr 0.0000 0.0000 0.5000 1
Mg1 Mg 0.0000 0.0000 0.0000 1
```



# 8
The following is a PBE-GGA calculation of an optimized crystal structure of CePr5Mg4, from Alexandria via LeMat-Bulk.

CIF file:
```
data_CePr5Mg4
_cell_length_a 3.817
_cell_length_b 3.817
_cell_length_c 20.953
_cell_angle_alpha 90.00
_cell_angle_beta 90.00
_cell_angle_gamma 90.00
_symmetry_space_group_name_H-M 'P 4/m m m'
_symmetry_Int_Tables_number 123
_symmetry_space_group_name_Hall '-P 4 2'
loop_
_atom_site_label
_atom_site_type_symbol
_atom_site_fract_x
_atom_site_fract_y
_atom_site_fract_z
_atom_site_occupancy
Ce1 Ce 0.000 0.000 0.000 1
Pr1 Pr 0.500 0.500 0.111 1
Pr2 Pr 0.500 0.500 0.309 1
Pr3 Pr 0.500 0.500 0.500 1
Mg1 Mg 0.000 0.000 0.210 1
Mg2 Mg 0.000 0.000 0.405 1
```



# 9
The following is a PBE-GGA calculation of an optimized crystal structure of Ce2PrMg, from Alexandria via LeMat-Bulk.

Results
* excess energy over the best structure of this formula in the dataset: 0.038 eV/atom

CIF file:
```
data_Ce2PrMg
_cell_length_a 3.3979
_cell_length_b 3.3979
_cell_length_c 35.3732
_cell_angle_alpha 90.00
_cell_angle_beta 90.00
_cell_angle_gamma 120.00
_symmetry_space_group_name_H-M 'R 3 m'
_symmetry_Int_Tables_number 160
_symmetry_space_group_name_Hall 'R 3 -2"'
loop_
_atom_site_label
_atom_site_type_symbol
_atom_site_fract_x
_atom_site_fract_y
_atom_site_fract_z
_atom_site_occupancy
Ce1 Ce 0.0000 0.0000 0.0000 1
Ce2 Ce 0.0000 0.0000 0.1741 1
Pr1 Pr 0.0000 0.0000 0.4206 1
Mg1 Mg 0.0000 0.0000 0.5869 1
```



# 10
The following is a PBE-GGA calculation of an optimized crystal structure of CePrPuMg, from Alexandria via LeMat-Bulk.

CIF file:
```
data_CePrPuMg
_cell_length_a 7.744
_cell_length_b 7.744
_cell_length_c 7.744
_cell_angle_alpha 90.00
_cell_angle_beta 90.00
_cell_angle_gamma 90.00
_symmetry_space_group_name_H-M 'F -4 3 m'
_symmetry_Int_Tables_number 216
_symmetry_space_group_name_Hall 'F -4 2 3'
loop_
_atom_site_label
_atom_site_type_symbol
_atom_site_fract_x
_atom_site_fract_y
_atom_site_fract_z
_atom_site_occupancy
Ce1 Ce 0.000 0.000 0.000 1
Pr1 Pr 0.000 0.000 0.500 1
Pu1 Pu 0.250 0.250 0.250 1
Mg1 Mg 0.250 0.250 0.750 1
```



# 11
The following is a PBE-GGA calculation of an optimized crystal structure of CePrMgRu, from Alexandria via LeMat-Bulk.

CIF file:
```
data_CePrMgRu
_cell_length_a 7.282
_cell_length_b 7.282
_cell_length_c 7.282
_cell_angle_alpha 90.00
_cell_angle_beta 90.00
_cell_angle_gamma 90.00
_symmetry_space_group_name_H-M 'F -4 3 m'
_symmetry_Int_Tables_number 216
_symmetry_space_group_name_Hall 'F -4 2 3'
loop_
_atom_site_label
_atom_site_type_symbol
_atom_site_fract_x
_atom_site_fract_y
_atom_site_fract_z
_atom_site_occupancy
Ce1 Ce 0.000 0.000 0.000 1
Pr1 Pr 0.000 0.000 0.500 1
Mg1 Mg 0.250 0.250 0.250 1
Ru1 Ru 0.250 0.250 0.750 1
```



# 12
The following is a PBE-GGA calculation of an optimized crystal structure of CePrMgSc, from Alexandria via LeMat-Bulk.

CIF file:
```
data_CePrMgSc
_cell_length_a 7.738
_cell_length_b 7.738
_cell_length_c 7.738
_cell_angle_alpha 90.00
_cell_angle_beta 90.00
_cell_angle_gamma 90.00
_symmetry_space_group_name_H-M 'F -4 3 m'
_symmetry_Int_Tables_number 216
_symmetry_space_group_name_Hall 'F -4 2 3'
loop_
_atom_site_label
_atom_site_type_symbol
_atom_site_fract_x
_atom_site_fract_y
_atom_site_fract_z
_atom_site_occupancy
Ce1 Ce 0.000 0.000 0.000 1
Pr1 Pr 0.000 0.000 0.500 1
Mg1 Mg 0.250 0.250 0.750 1
Sc1 Sc 0.250 0.250 0.250 1
```



no.,DFT formation energy (kJ/mol of atoms)
1,11
2,-8
3,20
4,-6
5,11
6,10
7,28
8,-5
9,13
10,13
11,-2
12,8